No. 1
First-principles (GGA-PBE) data for an optimized crystal structure of La2GaNiC, as listed in Alexandria via LeMat-Bulk.

a = 5.4014 Å, b = 5.4014 Å, c = 3.6638 Å
α = 90.00°, β = 90.00°, γ = 90.00°
Closest atoms and distances in Å follow each position.
Positions (direct):
La1 0.0000 0.5000 0.0000  2 C 2.70
La2 0.5000 0.0000 0.0000  2 C 2.70
Ga1 0.0000 0.0000 0.5000  8 La 3.26
Ni1 0.5000 0.5000 0.5000  2 C 1.83
C1 0.5000 0.5000 0.0000  2 Ni 1.83

Computed properties:
- ΔH_f (0 K) (eV per atom) = -0.323
- size of the total moment (μB per atom) = 0.00
- theoretical density (Mg/m³) = 6.50
- crystal system = tetragonal

No. 2
First-principles (GGA-PBE) data for an optimized crystal structure of LaGa2Os2C, as listed in Alexandria via LeMat-Bulk.

a = 4.1584 Å, b = 4.1584 Å, c = 5.6985 Å
α = 90.00°, β = 90.00°, γ = 90.00°
Closest atoms and distances in Å follow each position.
Positions (direct):
La1 0.0000 0.0000 0.0000  2 C 2.85
Ga1 0.5000 0.5000 0.2210  1 Ga 2.52, 4 Os 2.62
Ga2 0.5000 0.5000 0.7790  1 Ga 2.52, 4 Os 2.62
Os1 0.0000 0.5000 0.5000  2 C 2.08
Os2 0.5000 0.0000 0.5000  2 C 2.08
C1 0.0000 0.0000 0.5000  4 Os 2.08

Computed properties:
- ΔH_f (0 K) (eV per atom) = -0.270
- size of the total moment (μB per atom) = 0.00
- theoretical density (Mg/m³) = 11.30
- crystal system = tetragonal

No. 3
First-principles (GGA-PBE) data for an optimized crystal structure of La2GaOsC, as listed in Alexandria via LeMat-Bulk.

a = 6.5663 Å, b = 4.3173 Å, c = 8.8617 Å
α = 90.00°, β = 110.01°, γ = 90.00°
Closest atoms and distances in Å follow each position.
Positions (direct):
La1 0.2223 0.2500 0.3841  2 C 2.83, 1 Os 3.09
La2 0.2251 0.2500 0.9688  3 C 2.59-2.86
La3 0.7749 0.7500 0.0312  3 C 2.59-2.86
La4 0.7777 0.7500 0.6159  2 C 2.83, 1 Os 3.09
Ga1 0.3071 0.7500 0.7001  2 Os 2.49
Ga2 0.6929 0.2500 0.2999  2 Os 2.49
Os1 0.4935 0.7500 0.2573  1 C 1.86
Os2 0.5065 0.2500 0.7427  1 C 1.86
C1 0.1918 0.7500 0.1707  1 Os 1.86
C2 0.8082 0.2500 0.8293  1 Os 1.86

Computed properties:
- ΔH_f (0 K) (eV per atom) = -0.265
- size of the total moment (μB per atom) = 0.00
- theoretical density (Mg/m³) = 7.73
- crystal system = monoclinic

No. 4
First-principles (GGA-PBE) data for an optimized crystal structure of La2Ga2Os2C, as listed in Alexandria via LeMat-Bulk.

a = 6.1358 Å, b = 6.1358 Å, c = 7.4474 Å
α = 126.98°, β = 126.98°, γ = 40.72°
Closest atoms and distances in Å follow each position.
Positions (direct):
La1 0.0616 0.0616 0.2922  2 C 2.80
La2 0.9384 0.9384 0.7078  2 C 2.80
Ga1 0.3405 0.3405 0.2888  3 Os 2.53-2.56
Ga2 0.6595 0.6595 0.7112  3 Os 2.53-2.56
Os1 0.3052 0.3052 0.9133  1 C 1.89
Os2 0.6948 0.6948 0.0867  1 C 1.89
C1 0.5000 0.5000 0.0000  2 Os 1.89

Computed properties:
- ΔH_f (0 K) (eV per atom) = -0.442
- size of the total moment (μB per atom) = 0.00
- theoretical density (Mg/m³) = 9.58
- crystal system = monoclinic

No. 5
First-principles (GGA-PBE) data for an optimized crystal structure of LaGaPdC2, as listed in Alexandria via LeMat-Bulk.

a = 4.1010 Å, b = 4.1010 Å, c = 8.7232 Å
α = 90.00°, β = 90.00°, γ = 90.00°
Closest atoms and distances in Å follow each position.
Positions (direct):
La1 0.0000 0.0000 0.0000  4 Pd 2.90
Ga1 0.0000 0.0000 0.5000  4 C 2.05
Pd1 0.5000 0.5000 0.0000  4 La 2.90
C1 0.0000 0.5000 0.5000  2 Ga 2.05
C2 0.5000 0.0000 0.5000  2 Ga 2.05

Computed properties:
- ΔH_f (0 K) (eV per atom) = 1.817
- size of the total moment (μB per atom) = 0.19
- theoretical density (Mg/m³) = 3.84
- crystal system = tetragonal

No. 6
First-principles (GGA-PBE) data for an optimized crystal structure of La2GaReC, as listed in Alexandria via LeMat-Bulk.

a = 5.3249 Å, b = 5.3249 Å, c = 3.9992 Å
α = 90.00°, β = 90.00°, γ = 90.00°
Closest atoms and distances in Å follow each position.
Positions (direct):
La1 0.0000 0.5000 0.0000  2 C 2.66
La2 0.5000 0.0000 0.0000  2 C 2.66
Ga1 0.0000 0.0000 0.5000  8 La 3.33
Re1 0.5000 0.5000 0.5000  2 C 2.00
C1 0.5000 0.5000 0.0000  2 Re 2.00

Computed properties:
- ΔH_f (0 K) (eV per atom) = -0.193
- size of the total moment (μB per atom) = 0.00
- theoretical density (Mg/m³) = 7.99
- crystal system = tetragonal

No. 7
First-principles (GGA-PBE) data for an optimized crystal structure of La2Ga2Ru2C, as listed in Alexandria via LeMat-Bulk.

a = 6.1399 Å, b = 6.1399 Å, c = 7.4577 Å
α = 127.19°, β = 127.19°, γ = 40.94°
Closest atoms and distances in Å follow each position.
Positions (direct):
La1 0.0579 0.0579 0.3262  2 C 2.80
La2 0.9421 0.9421 0.6738  2 C 2.80
Ga1 0.3369 0.3369 0.8913  3 Ru 2.51-2.55
Ga2 0.6631 0.6631 0.1087  3 Ru 2.51-2.55
Ru1 0.3057 0.3057 0.2002  1 C 1.88
Ru2 0.6943 0.6943 0.7998  1 C 1.88
C1 0.5000 0.5000 0.5000  2 Ru 1.88

Computed properties:
- ΔH_f (0 K) (eV per atom) = -0.521
- size of the total moment (μB per atom) = 0.00
- theoretical density (Mg/m³) = 7.45
- crystal system = monoclinic

No. 8
First-principles (GGA-PBE) data for an optimized crystal structure of La3Ga2Ru3C, as listed in Alexandria via LeMat-Bulk.

a = 7.7216 Å, b = 7.7216 Å, c = 3.4869 Å
α = 90.00°, β = 90.00°, γ = 120.00°
Closest atoms and distances in Å follow each position.
Positions (direct):
La1 0.0000 0.6444 0.0000  1 C 2.75, 4 Ru 2.96, 4 Ga 3.04
La2 0.3556 0.3556 0.0000  1 C 2.75, 4 Ru 2.96, 4 Ga 3.04
La3 0.6444 0.0000 0.0000  1 C 2.75, 4 Ru 2.96, 4 Ga 3.04
Ga1 0.3333 0.6667 0.5000  6 La 3.04, 3 Ru 3.19
Ga2 0.6667 0.3333 0.5000  6 La 3.04, 3 Ru 3.19
Ru1 0.0000 0.2050 0.5000  2 C 2.35
Ru2 0.2050 0.0000 0.5000  2 C 2.35
Ru3 0.7950 0.7950 0.5000  2 C 2.35
C1 0.0000 0.0000 0.0000  6 Ru 2.35

Computed properties:
- ΔH_f (0 K) (eV per atom) = -0.058
- size of the total moment (μB per atom) = 0.00
- theoretical density (Mg/m³) = 8.04
- crystal system = hexagonal

No. 9
First-principles (GGA-PBE) data for an optimized crystal structure of La2GaRuC, as listed in Alexandria via LeMat-Bulk.

a = 5.3360 Å, b = 5.3360 Å, c = 3.9209 Å
α = 90.00°, β = 90.00°, γ = 90.00°
Closest atoms and distances in Å follow each position.
Positions (direct):
La1 0.0000 0.5000 0.0000  2 C 2.67
La2 0.5000 0.0000 0.0000  2 C 2.67
Ga1 0.0000 0.0000 0.5000  8 La 3.31
Ru1 0.5000 0.5000 0.5000  2 C 1.96
C1 0.5000 0.5000 0.0000  2 Ru 1.96

Computed properties:
- ΔH_f (0 K) (eV per atom) = -0.335
- size of the total moment (μB per atom) = 0.00
- theoretical density (Mg/m³) = 6.85
- crystal system = tetragonal

No. 10
First-principles (GGA-PBE) data for an optimized crystal structure of LaGaRu2C, as listed in Alexandria via LeMat-Bulk.

a = 5.9664 Å, b = 5.9664 Å, c = 7.3574 Å
α = 90.00°, β = 90.00°, γ = 139.48°
Closest atoms and distances in Å follow each position.
Positions (direct):
La1 0.0511 0.9489 0.7500  4 C 2.82, 1 Ga 3.11
La2 0.9489 0.0511 0.2500  4 C 2.82, 1 Ga 3.11
Ga1 0.2264 0.7736 0.2500  6 Ru 2.58-2.60
Ga2 0.7736 0.2264 0.7500  6 Ru 2.58-2.60
Ru1 0.3367 0.6633 0.5583  1 C 1.88
Ru2 0.3367 0.6633 0.9417  1 C 1.88
Ru3 0.6633 0.3367 0.0583  1 C 1.88
Ru4 0.6633 0.3367 0.4417  1 C 1.88
C1 0.5000 0.5000 0.0000  2 Ru 1.88
C2 0.5000 0.5000 0.5000  2 Ru 1.88

Computed properties:
- ΔH_f (0 K) (eV per atom) = -0.359
- size of the total moment (μB per atom) = 0.00
- theoretical density (Mg/m³) = 8.25
- crystal system = orthorhombic

No. 11
First-principles (GGA-PBE) data for an optimized crystal structure of LaGaCS2, as listed in Alexandria via LeMat-Bulk.

a = 4.6821 Å, b = 4.6821 Å, c = 6.2684 Å
α = 90.00°, β = 90.00°, γ = 90.00°
Closest atoms and distances in Å follow each position.
Positions (direct):
La1 0.0000 0.0000 0.0000  2 Ga 3.13, 4 C 3.31
Ga1 0.0000 0.0000 0.5000  4 S 2.34
C1 0.5000 0.5000 0.0000  4 La 3.31
S1 0.0000 0.5000 0.5000  2 Ga 2.34
S2 0.5000 0.0000 0.5000  2 Ga 2.34

Computed properties:
- size of the total moment (μB per atom) = 0.46
- theoretical density (Mg/m³) = 3.44
- formation energy (no corrections) (meV/atom) = 967.8
- crystal system = tetragonal

No. 12
First-principles (GGA-PBE) data for an optimized crystal structure of La2ScGaC, as listed in Alexandria via LeMat-Bulk.

a = 5.2463 Å, b = 5.2463 Å, c = 4.5046 Å
α = 90.00°, β = 90.00°, γ = 90.00°
Closest atoms and distances in Å follow each position.
Positions (direct):
La1 0.0000 0.5000 0.0000  2 C 2.62
La2 0.5000 0.0000 0.0000  2 C 2.62
Sc1 0.0000 0.0000 0.5000  2 C 2.25
Ga1 0.5000 0.5000 0.5000  8 La 3.46, 4 Sc 3.71
C1 0.0000 0.0000 0.0000  2 Sc 2.25

Computed properties:
- ΔH_f (0 K) (eV per atom) = -0.337
- size of the total moment (μB per atom) = 0.00
- theoretical density (Mg/m³) = 5.42
- crystal system = tetragonal

No. 13
First-principles (GGA-PBE) data for an optimized crystal structure of LaSc2GaC, as listed in Alexandria via LeMat-Bulk.

a = 4.5895 Å, b = 4.5895 Å, c = 5.1218 Å
α = 90.00°, β = 90.00°, γ = 90.00°
Closest atoms and distances in Å follow each position.
Positions (direct):
La1 0.0000 0.0000 0.0000  2 C 2.56
Sc1 0.0000 0.5000 0.5000  2 C 2.29
Sc2 0.5000 0.0000 0.5000  2 C 2.29
Ga1 0.5000 0.5000 0.0000  4 La 3.25, 8 Sc 3.44
C1 0.0000 0.0000 0.5000  4 Sc 2.29, 2 La 2.56

Computed properties:
- ΔH_f (0 K) (eV per atom) = -0.414
- size of the total moment (μB per atom) = 0.00
- theoretical density (Mg/m³) = 4.78
- crystal system = tetragonal

No. 14
First-principles (GGA-PBE) data for an optimized crystal structure of LaTaGaC2, as listed in Alexandria via LeMat-Bulk.

a = 4.2940 Å, b = 4.2940 Å, c = 5.6732 Å
α = 90.00°, β = 90.00°, γ = 90.00°
Closest atoms and distances in Å follow each position.
Positions (direct):
La1 0.0000 0.0000 0.0000  2 Ta 2.84, 4 Ga 3.04
Ta1 0.0000 0.0000 0.5000  4 C 2.15
Ga1 0.5000 0.5000 0.0000  4 La 3.04
C1 0.0000 0.5000 0.5000  2 Ta 2.15
C2 0.5000 0.0000 0.5000  2 Ta 2.15

Computed properties:
- ΔH_f (0 K) (eV per atom) = 1.319
- size of the total moment (μB per atom) = 0.00
- theoretical density (Mg/m³) = 6.57
- crystal system = tetragonal

No. 15
First-principles (GGA-PBE) data for an optimized crystal structure of LaTaGa2C, as listed in Alexandria via LeMat-Bulk.

a = 5.4172 Å, b = 5.4172 Å, c = 4.1224 Å
α = 90.00°, β = 90.00°, γ = 90.00°
Closest atoms and distances in Å follow each position.
Positions (direct):
La1 0.0000 0.0000 0.0000  2 C 2.06
Ta1 0.5000 0.5000 0.5000  8 Ga 3.40
Ga1 0.0000 0.5000 0.0000  2 La 2.71
Ga2 0.5000 0.0000 0.0000  2 La 2.71
C1 0.0000 0.0000 0.5000  2 La 2.06

Computed properties:
- ΔH_f (0 K) (eV per atom) = 1.969
- size of the total moment (μB per atom) = 0.00
- theoretical density (Mg/m³) = 6.47
- crystal system = tetragonal

No. 16
First-principles (GGA-PBE) data for an optimized crystal structure of LaGa2Tc2C, as listed in Alexandria via LeMat-Bulk.

a = 4.1895 Å, b = 4.1895 Å, c = 5.6906 Å
α = 90.00°, β = 90.00°, γ = 90.00°
Closest atoms and distances in Å follow each position.
Positions (direct):
La1 0.0000 0.0000 0.0000  2 C 2.85
Ga1 0.5000 0.5000 0.2251  1 Ga 2.56, 4 Tc 2.61
Ga2 0.5000 0.5000 0.7749  1 Ga 2.56, 4 Tc 2.61
Tc1 0.0000 0.5000 0.5000  2 C 2.09
Tc2 0.5000 0.0000 0.5000  2 C 2.09
C1 0.0000 0.0000 0.5000  4 Tc 2.09

Computed properties:
- ΔH_f (0 K) (eV per atom) = -0.419
- size of the total moment (μB per atom) = 0.00
- theoretical density (Mg/m³) = 8.09
- crystal system = tetragonal

No. 17
First-principles (GGA-PBE) data for an optimized crystal structure of La2Ga2Tc2C, as listed in Alexandria via LeMat-Bulk.

a = 5.9797 Å, b = 5.9797 Å, c = 7.6239 Å
α = 123.17°, β = 123.17°, γ = 38.45°
Closest atoms and distances in Å follow each position.
Positions (direct):
La1 0.0735 0.0735 0.2952  2 C 2.73
La2 0.9265 0.9265 0.7048  2 C 2.73
Ga1 0.3604 0.3604 0.3217  3 Tc 2.62-2.63, 1 Ga 2.72
Ga2 0.6396 0.6396 0.6783  3 Tc 2.62-2.63, 1 Ga 2.72
Tc1 0.3033 0.3033 0.9357  1 C 1.98
Tc2 0.6967 0.6967 0.0643  1 C 1.98
C1 0.5000 0.5000 0.0000  2 Tc 1.98

Computed properties:
- ΔH_f (0 K) (eV per atom) = -0.418
- size of the total moment (μB per atom) = 0.00
- theoretical density (Mg/m³) = 7.52
- crystal system = monoclinic

No. 18
First-principles (GGA-PBE) data for an optimized crystal structure of LaGa2TeC, as listed in Alexandria via LeMat-Bulk.

a = 4.6653 Å, b = 4.6653 Å, c = 5.7545 Å
α = 90.00°, β = 90.00°, γ = 90.00°
Closest atoms and distances in Å follow each position.
Positions (direct):
La1 0.0000 0.0000 0.0000  2 C 2.88
Ga1 0.0000 0.5000 0.5000  2 C 2.33
Ga2 0.5000 0.0000 0.5000  2 C 2.33
Te1 0.5000 0.5000 0.0000  4 La 3.30
C1 0.0000 0.0000 0.5000  4 Ga 2.33

Computed properties:
- size of the total moment (μB per atom) = 0.00
- theoretical density (Mg/m³) = 5.54
- relative energy among the computed polymorphs (eV per atom) = 0.000
- formation energy (no corrections) (meV/atom) = -24.0
- crystal system = tetragonal

No. 19
First-principles (GGA-PBE) data for an optimized crystal structure of La4GaTeC, as listed in Alexandria via LeMat-Bulk.

a = 8.8978 Å, b = 8.8978 Å, c = 7.2058 Å
α = 90.00°, β = 90.00°, γ = 132.70°
Closest atoms and distances in Å follow each position.
Positions (direct):
La1 0.0000 0.5000 0.0000  2 C 2.55
La2 0.0000 0.5000 0.5000  2 C 2.55
La3 0.0798 0.9202 0.7500  1 C 2.49
La4 0.4093 0.5907 0.7500  1 C 2.88
La5 0.5000 0.0000 0.0000  2 C 2.55
La6 0.5000 0.0000 0.5000  2 C 2.55
La7 0.5907 0.4093 0.2500  1 C 2.88
La8 0.9202 0.0798 0.2500  1 C 2.49
Ga1 0.1183 0.8817 0.2500  7 La 3.23-3.60
Ga2 0.8817 0.1183 0.7500  7 La 3.23-3.60
Te1 0.3909 0.6091 0.2500  9 La 3.26-3.62
Te2 0.6091 0.3909 0.7500  9 La 3.26-3.62
C1 0.2325 0.7675 0.7500  5 La 2.49-2.55
C2 0.7675 0.2325 0.2500  5 La 2.49-2.55

Computed properties:
- size of the total moment (μB per atom) = 0.00
- theoretical density (Mg/m³) = 6.06
- formation energy (no corrections) (meV/atom) = -597.8
- crystal system = orthorhombic

No. 20
First-principles (GGA-PBE) data for an optimized crystal structure of LaGa2TeC, as listed in Alexandria via LeMat-Bulk.

a = 6.1949 Å, b = 6.1949 Å, c = 5.9741 Å
α = 90.00°, β = 90.00°, γ = 90.00°
Closest atoms and distances in Å follow each position.
Positions (direct):
La1 0.0000 0.0000 0.0000  2 Te 2.99, 4 Ga 3.10
Ga1 0.0000 0.5000 0.0000  2 La 3.10
Ga2 0.5000 0.0000 0.0000  2 La 3.10
Te1 0.0000 0.0000 0.5000  2 La 2.99
C1 0.5000 0.5000 0.5000  8 Ga 4.30, 4 Te 4.38

Computed properties:
- size of the total moment (μB per atom) = 0.47
- theoretical density (Mg/m³) = 3.03
- relative energy among the computed polymorphs (eV per atom) = 1.664
- formation energy (no corrections) (meV/atom) = 1640.1
- crystal system = tetragonal